[1]
Compound: PmPr5Zn4
Source: Alexandria
Functional: PBE
Structure: optimized geometry

Output
The formation energy comes out at -0.2376 eV/atom. For the calculated density, the calculation gives 6.68 g/cm³. The value obtained for the total magnetization is 0.000 μB/atom.

Cell lengths 3.7110, 3.7110, 20.0497 Å; angles 90.00, 90.00, 90.00 degrees
Fractional positions:
Pm (0.0000, 0.0000, 0.0000)
Pr (0.5000, 0.5000, 0.1304)
Pr (0.5000, 0.5000, 0.3153)
Pr (0.5000, 0.5000, 0.5000)
Pr (0.5000, 0.5000, 0.6847)
Pr (0.5000, 0.5000, 0.8696)
Zn (0.0000, 0.0000, 0.2214)
Zn (0.0000, 0.0000, 0.4072)
Zn (0.0000, 0.0000, 0.5928)
Zn (0.0000, 0.0000, 0.7786)

=====

[2]
Compound: CeHo2MgS6
Source: Alexandria
Functional: PBE
Structure: optimized geometry

Output
For the calculated density, the calculation gives 4.65 g/cm³. The uncorrected formation energy comes out at -1.795 eV/atom. The value obtained for the total magnetization is 0.000 μB/atom.

Cell lengths 7.2436, 7.2436, 7.2436 Å; angles 56.24, 56.24, 56.24 degrees
Fractional positions:
Ce (0.0000, 0.0000, 0.0000)
Ho (0.2995, 0.2995, 0.2995)
Ho (0.7987, 0.7987, 0.7987)
Mg (0.5009, 0.5009, 0.5009)
S (0.1094, 0.7016, 0.3978)
S (0.2112, 0.6008, 0.8895)
S (0.3978, 0.1094, 0.7016)
S (0.6008, 0.8895, 0.2112)
S (0.7016, 0.3978, 0.1094)
S (0.8895, 0.2112, 0.6008)